# 1
{"formula": "CdPb2I6", "functional": "PBE", "state": "relaxed", "total_magnetization_mub_per_fu": 0.0, "spacegroup": "C2/c (15)", "dos_at_fermi_per_ev_cell": 0.00, "e_form_raw_ev_per_atom": -0.59, "lattice_angstrom": [[7.1331, -9.8768, 0.0000], [7.1331, 9.8768, 0.0000], [-2.7984, 0.0000, 5.9037]], "species": ["Cd", "Cd", "Pb", "Pb", "Pb", "Pb", "I", "I", "I", "I", "I", "I", "I", "I", "I", "I", "I", "I"], "fractional_positions": [[0.1776, 0.8224, 0.7500], [0.8224, 0.1776, 0.2500], [0.2601, 0.4522, 0.3793], [0.4522, 0.2601, 0.8793], [0.5478, 0.7399, 0.1207], [0.7399, 0.5478, 0.6207], [0.0328, 0.2025, 0.1162], [0.1130, 0.6193, 0.3548], [0.2025, 0.0328, 0.6162], [0.2953, 0.4548, 0.8916], [0.3807, 0.8870, 0.1452], [0.4548, 0.2953, 0.3916], [0.5452, 0.7047, 0.6084], [0.6193, 0.1130, 0.8548], [0.7047, 0.5452, 0.1084], [0.7975, 0.9672, 0.3838], [0.8870, 0.3807, 0.6452], [0.9672, 0.7975, 0.8838]]}

***

# 2
{"formula": "RhSeCl2", "functional": "PBE", "state": "relaxed", "total_magnetization_mub_per_fu": 0.0, "spacegroup": "R3m (160)", "dos_at_fermi_per_ev_cell": 4.06, "e_form_raw_ev_per_atom": -0.31, "lattice_angstrom": [[1.7945, 1.0360, 7.9296], [-1.7945, 1.0360, 7.9296], [0.0000, -2.0721, 7.9296]], "species": ["Rh", "Se", "Cl", "Cl"], "fractional_positions": [[0.0000, 0.0000, 0.0000], [0.2808, 0.2808, 0.2808], [0.5301, 0.5301, 0.5301], [0.7282, 0.7282, 0.7282]]}

***

# 3
{"formula": "ZrTlSi3", "functional": "PBE", "state": "relaxed", "total_magnetization_mub_per_fu": 0.0, "spacegroup": "Pm-3m (221)", "dos_at_fermi_per_ev_cell": 5.38, "e_form_raw_ev_per_atom": 1.49, "lattice_angstrom": [[5.0347, 0.0000, 0.0000], [0.0000, 5.0347, 0.0000], [0.0000, 0.0000, 5.0347]], "species": ["Zr", "Tl", "Si", "Si", "Si"], "fractional_positions": [[0.0000, 0.0000, 0.0000], [0.5000, 0.5000, 0.5000], [0.0000, 0.5000, 0.5000], [0.5000, 0.0000, 0.5000], [0.5000, 0.5000, 0.0000]]}

***

# 4
{"formula": "TaFeCo4", "functional": "PBE", "state": "relaxed", "total_magnetization_mub_per_fu": 6.0, "delta_e_f_kj_per_mol_fu": 47, "spacegroup": "Pmma (51)", "dos_at_fermi_per_ev_cell": 10.76, "lattice_angstrom": [[6.6930, 0.0000, 0.0000], [0.0000, 3.6659, 0.0000], [0.0000, 0.0000, 6.0150]], "species": ["Ta", "Ta", "Fe", "Fe", "Co", "Co", "Co", "Co", "Co", "Co", "Co", "Co"], "fractional_positions": [[0.2500, 0.0000, 0.1505], [0.7500, 0.0000, 0.8495], [0.2500, 0.0000, 0.7472], [0.7500, 0.0000, 0.2528], [0.0000, 0.0000, 0.5000], [0.0431, 0.5000, 0.8103], [0.2500, 0.5000, 0.4520], [0.4569, 0.5000, 0.8103], [0.5000, 0.0000, 0.5000], [0.5431, 0.5000, 0.1897], [0.7500, 0.5000, 0.5480], [0.9569, 0.5000, 0.1897]]}

***

# 5
{"formula": "YCrGe", "functional": "PBE", "state": "relaxed", "total_magnetization_mub_per_fu": 1.3, "delta_e_f_kj_per_mol_fu": -109, "spacegroup": "P4/nmm (129)", "dos_at_fermi_per_ev_cell": 5.79, "lattice_angstrom": [[3.9235, 0.0000, 0.0000], [0.0000, 3.9235, 0.0000], [0.0000, 0.0000, 7.4062]], "species": ["Y", "Y", "Cr", "Cr", "Ge", "Ge"], "fractional_positions": [[0.2500, 0.2500, 0.1595], [0.7500, 0.7500, 0.8405], [0.2500, 0.7500, 0.5000], [0.7500, 0.2500, 0.5000], [0.2500, 0.2500, 0.7182], [0.7500, 0.7500, 0.2818]]}

***

# 6
{"formula": "MgPb3Br2Cl6", "functional": "PBE", "state": "relaxed", "total_magnetization_mub_per_fu": 0.0, "spacegroup": "C2/m (12)", "dos_at_fermi_per_ev_cell": 0.00, "e_form_raw_ev_per_atom": -1.23, "lattice_angstrom": [[7.2369, -4.0853, 0.0000], [7.2369, 4.0853, 0.0000], [-0.3233, 0.0000, 6.4450]], "species": ["Mg", "Pb", "Pb", "Pb", "Br", "Br", "Cl", "Cl", "Cl", "Cl", "Cl", "Cl"], "fractional_positions": [[0.0000, 0.0000, 0.0000], [0.0000, 0.5000, 0.0000], [0.5000, 0.0000, 0.0000], [0.5000, 0.5000, 0.5000], [0.3139, 0.3139, 0.6912], [0.6861, 0.6861, 0.3088], [0.1481, 0.1481, 0.2165], [0.1623, 0.6990, 0.2238], [0.3010, 0.8377, 0.7762], [0.6990, 0.1623, 0.2238], [0.8377, 0.3010, 0.7762], [0.8519, 0.8519, 0.7835]]}

***

# 7
{"formula": "In2BF5", "functional": "PBE", "state": "relaxed", "total_magnetization_mub_per_fu": 0.0, "spacegroup": "Cm (8)", "dos_at_fermi_per_ev_cell": 0.38, "e_form_raw_ev_per_atom": -2.29, "lattice_angstrom": [[2.8436, -4.2977, 0.0000], [2.8436, 4.2977, 0.0000], [-1.5415, 0.0000, 5.8485]], "species": ["In", "In", "B", "F", "F", "F", "F", "F"], "fractional_positions": [[0.2252, 0.7748, 0.0000], [0.7748, 0.2252, 0.0000], [0.3682, 0.3682, 0.4683], [0.1251, 0.1251, 0.3159], [0.2576, 0.5299, 0.6031], [0.5299, 0.2576, 0.6031], [0.5363, 0.5363, 0.3334], [0.9521, 0.9521, 0.8281]]}

***

# 8
{"formula": "TaHgCl2", "functional": "PBE", "state": "relaxed", "total_magnetization_mub_per_fu": 0.0, "spacegroup": "I4/mmm (139)", "dos_at_fermi_per_ev_cell": 3.03, "e_form_raw_ev_per_atom": 0.49, "lattice_angstrom": [[-2.1563, 2.1563, 4.1939], [2.1563, -2.1563, 4.1939], [2.1563, 2.1563, -4.1939]], "species": ["Ta", "Hg", "Cl", "Cl"], "fractional_positions": [[0.0000, 0.0000, 0.0000], [0.5000, 0.5000, 0.0000], [0.2500, 0.7500, 0.5000], [0.7500, 0.2500, 0.5000]]}

***

# 9
{"formula": "SmInHg", "functional": "PBE", "state": "relaxed", "total_magnetization_mub_per_fu": 0.0, "delta_e_f_kj_per_mol_fu": -128, "spacegroup": "F-43m (216)", "dos_at_fermi_per_ev_cell": 0.65, "lattice_angstrom": [[0.0000, 3.4911, 3.4911], [3.4911, 0.0000, 3.4911], [3.4911, 3.4911, 0.0000]], "species": ["Sm", "In", "Hg"], "fractional_positions": [[0.0000, 0.0000, 0.0000], [0.5000, 0.5000, 0.5000], [0.7500, 0.7500, 0.7500]]}

***

# 10
{"formula": "TbDy4Ho6", "functional": "PBE", "state": "relaxed", "total_magnetization_mub_per_fu": 0.0, "delta_e_f_kj_per_mol_fu": 476, "spacegroup": "I-42m (121)", "dos_at_fermi_per_ev_cell": 13.26, "lattice_angstrom": [[-3.7617, 3.7617, 6.5406], [3.7617, -3.7617, 6.5406], [3.7617, 3.7617, -6.5406]], "species": ["Tb", "Dy", "Dy", "Dy", "Dy", "Ho", "Ho", "Ho", "Ho", "Ho", "Ho"], "fractional_positions": [[0.0000, 0.0000, 0.0000], [0.2554, 0.2554, 0.6659], [0.4105, 0.7446, 0.0000], [0.5895, 0.5895, 0.3341], [0.7446, 0.4105, 0.0000], [0.0000, 0.5000, 0.5000], [0.0534, 0.5755, 0.0000], [0.4245, 0.4245, 0.4779], [0.5000, 0.0000, 0.5000], [0.5755, 0.0534, 0.0000], [0.9466, 0.9466, 0.5221]]}

***

# 11
{"formula": "Tb2Pm4Pr3", "functional": "PBE", "state": "relaxed", "total_magnetization_mub_per_fu": 0.0, "delta_e_f_kj_per_mol_fu": 14, "spacegroup": "C2/m (12)", "dos_at_fermi_per_ev_cell": 12.50, "lattice_angstrom": [[7.9772, -1.8265, 0.0000], [7.9772, 1.8265, 0.0000], [-2.5449, 0.0000, 10.6401]], "species": ["Tb", "Tb", "Pm", "Pm", "Pm", "Pm", "Pr", "Pr", "Pr"], "fractional_positions": [[0.1667, 0.1667, 0.2216], [0.8333, 0.8333, 0.7784], [0.1673, 0.1673, 0.8894], [0.5002, 0.5002, 0.3320], [0.4998, 0.4998, 0.6680], [0.8327, 0.8327, 0.1106], [0.1671, 0.1671, 0.5561], [0.5000, 0.5000, 0.0000], [0.8329, 0.8329, 0.4439]]}

***

# 12
{"formula": "RbCo3Pd", "functional": "PBE", "state": "relaxed", "total_magnetization_mub_per_fu": 6.6, "delta_e_f_kj_per_mol_fu": 584, "spacegroup": "Pm-3m (221)", "dos_at_fermi_per_ev_cell": 6.88, "lattice_angstrom": [[4.8359, 0.0000, 0.0000], [0.0000, 4.8359, 0.0000], [0.0000, 0.0000, 4.8359]], "species": ["Rb", "Co", "Co", "Co", "Pd"], "fractional_positions": [[0.0000, 0.0000, 0.0000], [0.0000, 0.5000, 0.5000], [0.5000, 0.0000, 0.5000], [0.5000, 0.5000, 0.0000], [0.5000, 0.5000, 0.5000]]}